1.
The following is a PBE-GGA calculation of ScPd after structural relaxation, from OQMD. Values from VASP.

```
&SYSTEM
  ibrav = 0, nat = 2, ntyp = 2
/
ATOMIC_SPECIES
Pd 106.42 Pd.upf
Sc 44.96 Sc.upf
ATOMIC_POSITIONS crystal
Pd 0.6667 0.3333 0.7500
Sc 0.3333 0.6667 0.2500
CELL_PARAMETERS angstrom
-3.1234 0.9836 -0.1049
0.9706 -2.1302 2.2925
0.8831 3.0684 2.4774
```

Results
SG: P-6m2, No. 187
Total DFT energy (no corrections) in eV per cell: -12.72

2.
The following is a PBE-GGA calculation of Sc2Pd after structural relaxation, from OQMD. Values from VASP.

```
&SYSTEM
  ibrav = 0, nat = 6, ntyp = 2
/
ATOMIC_SPECIES
Pd 106.42 Pd.upf
Sc 44.96 Sc.upf
ATOMIC_POSITIONS crystal
Pd 0.0000 0.0000 0.0000
Pd 0.2500 0.2500 0.2500
Sc 0.6250 0.6250 0.1250
Sc 0.6250 0.1250 0.6250
Sc 0.1250 0.6250 0.6250
Sc 0.6250 0.6250 0.6250
CELL_PARAMETERS angstrom
-0.7086 -5.3063 -1.2641
1.1221 -3.8884 3.7253
-4.0929 -2.8556 2.3132
```

Results
SG: Fd-3m, No. 227
Total DFT energy (no corrections) in eV per cell: -34.87

3.
The following is a PBE-GGA calculation of Sc2Pd after structural relaxation, from OQMD. Values from VASP.

```
&SYSTEM
  ibrav = 0, nat = 6, ntyp = 2
/
ATOMIC_SPECIES
Pd 106.42 Pd.upf
Sc 44.96 Sc.upf
ATOMIC_POSITIONS crystal
Pd 0.2500 0.2500 0.2500
Pd 0.5000 0.5000 0.5000
Sc 0.8750 0.3750 0.3750
Sc 0.3750 0.3750 0.3750
Sc 0.3750 0.8750 0.3750
Sc 0.3750 0.3750 0.8750
CELL_PARAMETERS angstrom
0.5283 -7.6637 2.6113
6.6289 -4.3895 -1.6187
5.1592 -1.9069 5.9646
```

Results
SG: Fd-3m, No. 227
Total DFT energy (no corrections) in eV per cell: -29.52

4.
The following is a PBE-GGA calculation of Sc2Pd after structural relaxation, from OQMD. Values from VASP.

```
&SYSTEM
  ibrav = 0, nat = 9, ntyp = 2
/
ATOMIC_SPECIES
Pd 106.42 Pd.upf
Sc 44.96 Sc.upf
ATOMIC_POSITIONS crystal
Pd 0.6667 0.3333 0.0000
Pd 0.3333 0.6667 0.0000
Pd 0.0000 0.0000 0.5000
Sc 0.2587 0.0000 0.0000
Sc 0.0000 0.2587 0.0000
Sc 0.7413 0.7413 0.0000
Sc 0.5888 0.0000 0.5000
Sc 0.4112 0.4112 0.5000
Sc 0.0000 0.5888 0.5000
CELL_PARAMETERS angstrom
6.9878 0.0000 0.0000
-3.4939 6.0516 0.0000
0.0000 0.0000 4.3681
```

Results
SG: P-62m, No. 189
Total DFT energy (no corrections) in eV per cell: -58.81

5.
The following is a PBE-GGA calculation of ScPd after structural relaxation, from OQMD. Values from VASP.

```
&SYSTEM
  ibrav = 0, nat = 2, ntyp = 2
/
ATOMIC_SPECIES
Pd 106.42 Pd.upf
Sc 44.96 Sc.upf
ATOMIC_POSITIONS crystal
Pd 0.0000 0.0000 0.0000
Sc 0.5000 0.5000 0.5000
CELL_PARAMETERS angstrom
3.3004 0.0000 0.0000
0.0000 3.3004 0.0000
0.0000 0.0000 3.3004
```

Results
SG: Pm-3m, No. 221
Total DFT energy (no corrections) in eV per cell: -13.32

6.
The following is a PBE-GGA calculation of ScPd5 after structural relaxation, from OQMD. Values from VASP.

```
&SYSTEM
  ibrav = 0, nat = 6, ntyp = 2
/
ATOMIC_SPECIES
Pd 106.42 Pd.upf
Sc 44.96 Sc.upf
ATOMIC_POSITIONS crystal
Pd 0.6667 0.3333 0.0000
Pd 0.3333 0.6667 0.0000
Pd 0.6600 0.0000 0.5000
Pd 0.3400 0.3400 0.5000
Pd 0.0000 0.6600 0.5000
Sc 0.0000 0.0000 0.0000
CELL_PARAMETERS angstrom
4.9030 0.0000 0.0000
-2.4515 4.2461 0.0000
0.0000 0.0000 4.5527
```

Results
SG: P-62m, No. 189
Total DFT energy (no corrections) in eV per cell: -35.70

7.
The following is a PBE-GGA calculation of Sc3Pd4 after structural relaxation, from OQMD. Values from VASP.

```
&SYSTEM
  ibrav = 0, nat = 14, ntyp = 2
/
ATOMIC_SPECIES
Pd 106.42 Pd.upf
Sc 44.96 Sc.upf
ATOMIC_POSITIONS crystal
Pd 0.0000 0.0000 0.0000
Pd 0.5815 0.7432 0.0515
Pd 0.9485 0.4185 0.2568
Pd 0.2568 0.9485 0.4185
Pd 0.5000 0.5000 0.5000
Pd 0.7432 0.0515 0.5815
Pd 0.0515 0.5815 0.7432
Pd 0.4185 0.2568 0.9485
Sc 0.2364 0.4946 0.1027
Sc 0.4946 0.1027 0.2364
Sc 0.1027 0.2364 0.4946
Sc 0.8973 0.7636 0.5054
Sc 0.5054 0.8973 0.7636
Sc 0.7636 0.5054 0.8973
CELL_PARAMETERS angstrom
-2.9148 -6.2466 2.6433
2.3675 -0.5222 -6.9732
4.8326 3.2102 4.5654
```

Results
SG: R-3, No. 148
Total DFT energy (no corrections) in eV per cell: -92.19

8.
The following is a PBE-GGA calculation of Sc3Pd5 after structural relaxation, from OQMD. Values from VASP.

```
&SYSTEM
  ibrav = 0, nat = 8, ntyp = 2
/
ATOMIC_SPECIES
Pd 106.42 Pd.upf
Sc 44.96 Sc.upf
ATOMIC_POSITIONS crystal
Pd 0.2854 0.2854 0.0000
Pd 0.7146 0.7146 0.0000
Pd 0.0000 0.0000 0.5000
Pd 0.5000 0.0000 0.5000
Pd 0.0000 0.5000 0.5000
Sc 0.7901 0.2099 0.0000
Sc 0.2099 0.7901 0.0000
Sc 0.5000 0.5000 0.5000
CELL_PARAMETERS angstrom
3.6705 -4.2219 0.0000
3.6705 4.2219 0.0000
0.0000 0.0000 4.3312
```

Results
SG: Cmmm, No. 65
Total DFT energy (no corrections) in eV per cell: -51.98

9.
The following is a PBE-GGA calculation of Sc2Pd after structural relaxation, from OQMD. Values from VASP.

```
&SYSTEM
  ibrav = 0, nat = 24, ntyp = 2
/
ATOMIC_SPECIES
Pd 106.42 Pd.upf
Sc 44.96 Sc.upf
ATOMIC_POSITIONS crystal
Pd 0.9098 0.9098 0.2707
Pd 0.3402 0.9793 0.3402
Pd 0.3402 0.3402 0.3402
Pd 0.9793 0.3402 0.3402
Pd 0.9098 0.2707 0.9098
Pd 0.2707 0.9098 0.9098
Pd 0.9098 0.9098 0.9098
Pd 0.3402 0.3402 0.9793
Sc 0.1250 0.1250 0.1250
Sc 0.6250 0.1250 0.1250
Sc 0.1250 0.6250 0.1250
Sc 0.6842 0.3158 0.3158
Sc 0.3158 0.6842 0.3158
Sc 0.6842 0.6842 0.3158
Sc 0.9342 0.5658 0.5658
Sc 0.5658 0.9342 0.5658
Sc 0.9342 0.9342 0.5658
Sc 0.1250 0.1250 0.6250
Sc 0.3158 0.3158 0.6842
Sc 0.6842 0.3158 0.6842
Sc 0.3158 0.6842 0.6842
Sc 0.5658 0.5658 0.9342
Sc 0.9342 0.5658 0.9342
Sc 0.5658 0.9342 0.9342
CELL_PARAMETERS angstrom
-4.5840 -7.3074 -1.7667
-8.3118 0.5967 -2.8443
-1.9603 -2.0606 -8.3333
```

Results
SG: Fd-3m, No. 227
Total DFT energy (no corrections) in eV per cell: -158.62

10.
The following is a PBE-GGA calculation of Sc3Pd7 after structural relaxation, from OQMD. Values from VASP.

```
&SYSTEM
  ibrav = 0, nat = 10, ntyp = 2
/
ATOMIC_SPECIES
Pd 106.42 Pd.upf
Sc 44.96 Sc.upf
ATOMIC_POSITIONS crystal
Pd 0.2028 0.2028 0.1256
Pd 0.4031 0.4031 0.1841
Pd 0.6048 0.6048 0.3212
Pd 0.0000 0.0000 0.5000
Pd 0.3952 0.3952 0.6788
Pd 0.5969 0.5969 0.8159
Pd 0.7972 0.7972 0.8744
Sc 0.0000 0.0000 0.0000
Sc 0.8109 0.8109 0.3702
Sc 0.1891 0.1891 0.6298
CELL_PARAMETERS angstrom
-7.5203 1.1247 -0.2956
-6.8297 -2.2326 -2.5054
0.7182 -2.9676 4.7330
```

Results
SG: C2/m, No. 12
Total DFT energy (no corrections) in eV per cell: -64.16

11.
The following is a PBE-GGA calculation of Sc2Pd after structural relaxation, from OQMD. Values from VASP.

```
&SYSTEM
  ibrav = 0, nat = 3, ntyp = 2
/
ATOMIC_SPECIES
Pd 106.42 Pd.upf
Sc 44.96 Sc.upf
ATOMIC_POSITIONS crystal
Pd 0.0000 0.0000 0.0000
Sc 0.2500 0.2500 0.2500
Sc 0.7500 0.7500 0.7500
CELL_PARAMETERS angstrom
1.9065 -4.1324 -0.3247
-1.4747 -3.4074 2.6517
-2.3490 -3.4589 -1.8260
```

Results
SG: Fm-3m, No. 225
Total DFT energy (no corrections) in eV per cell: -19.21

12.
The following is a PBE-GGA calculation of ScPd after structural relaxation, from OQMD. Values from VASP.

```
&SYSTEM
  ibrav = 0, nat = 2, ntyp = 2
/
ATOMIC_SPECIES
Pd 106.42 Pd.upf
Sc 44.96 Sc.upf
ATOMIC_POSITIONS crystal
Pd 0.0000 0.0000 0.0000
Sc 0.2500 0.2500 0.2500
CELL_PARAMETERS angstrom
0.0000 2.9725 2.9725
2.9725 0.0000 2.9725
2.9725 2.9725 0.0000
```

Results
SG: F-43m, No. 216
Total DFT energy (no corrections) in eV per cell: -11.57

13.
The following is a PBE-GGA calculation of Sc3PdSe after structural relaxation, from OQMD. Values from VASP.

```
&SYSTEM
  ibrav = 0, nat = 10, ntyp = 3
/
ATOMIC_SPECIES
Pd 106.42 Pd.upf
Sc 44.96 Sc.upf
Se 78.96 Se.upf
ATOMIC_POSITIONS crystal
Pd 0.2461 0.7539 0.2500
Pd 0.7539 0.2461 0.7500
Sc 0.8465 0.1535 0.0783
Sc 0.5778 0.4222 0.2500
Sc 0.8465 0.1535 0.4217
Sc 0.1535 0.8465 0.5783
Sc 0.4222 0.5778 0.7500
Sc 0.1535 0.8465 0.9217
Se 0.5000 0.5000 0.0000
Se 0.5000 0.5000 0.5000
CELL_PARAMETERS angstrom
1.7986 -6.0338 0.0000
1.7986 6.0338 0.0000
0.0000 0.0000 9.8371
```

Results
SG: Cmcm, No. 63
Total DFT energy (no corrections) in eV per cell: -64.96

14.
The following is a PBE-GGA calculation of Sc2PdSe4 after structural relaxation, from OQMD. Values from VASP.

```
&SYSTEM
  ibrav = 0, nat = 14, ntyp = 3
/
ATOMIC_SPECIES
Pd 106.42 Pd.upf
Sc 44.96 Sc.upf
Se 78.96 Se.upf
ATOMIC_POSITIONS crystal
Pd 0.3750 0.3750 0.3750
Pd 0.6250 0.6250 0.6250
Sc 0.0000 0.0000 0.0000
Sc 0.5000 0.0000 0.0000
Sc 0.0000 0.5000 0.0000
Sc 0.0000 0.0000 0.5000
Se 0.7558 0.7558 0.2326
Se 0.7674 0.2442 0.2442
Se 0.2442 0.2442 0.2442
Se 0.2442 0.7674 0.2442
Se 0.7558 0.2326 0.7558
Se 0.7558 0.7558 0.7558
Se 0.2326 0.7558 0.7558
Se 0.2442 0.2442 0.7674
CELL_PARAMETERS angstrom
-7.5769 -1.5120 1.2361
-2.8087 -7.1949 -1.2522
-2.1621 -4.4639 6.0517
```

Results
SG: Fd-3m, No. 227
Total DFT energy (no corrections) in eV per cell: -79.62

15.
The following is a PBE-GGA calculation of ScSnPdSe3 after structural relaxation, from OQMD. Values from VASP.

```
&SYSTEM
  ibrav = 0, nat = 12, ntyp = 4
/
ATOMIC_SPECIES
Pd 106.42 Pd.upf
Sc 44.96 Sc.upf
Se 78.96 Se.upf
Sn 118.71 Sn.upf
ATOMIC_POSITIONS crystal
Pd 0.4501 0.5499 0.2500
Pd 0.5499 0.4501 0.7500
Sc 0.0000 0.0000 0.0000
Sc 0.0000 0.0000 0.5000
Se 0.3591 0.6409 0.0359
Se 0.0777 0.9223 0.2500
Se 0.3591 0.6409 0.4641
Se 0.6409 0.3591 0.5359
Se 0.9223 0.0777 0.7500
Se 0.6409 0.3591 0.9641
Sn 0.7895 0.2105 0.2500
Sn 0.2105 0.7895 0.7500
CELL_PARAMETERS angstrom
4.4888 5.3171 -1.1242
-5.3325 -3.9786 -2.3281
-6.8709 6.7052 4.2788
```

Results
SG: Cmcm, No. 63
Total DFT energy (no corrections) in eV per cell: -62.25

16.
The following is a PBE-GGA calculation of Sc2Si2Pd after structural relaxation, from OQMD. Values from VASP.

```
&SYSTEM
  ibrav = 0, nat = 10, ntyp = 3
/
ATOMIC_SPECIES
Pd 106.42 Pd.upf
Sc 44.96 Sc.upf
Si 28.09 Si.upf
ATOMIC_POSITIONS crystal
Pd 0.0000 0.0000 0.0000
Pd 0.5000 0.5000 0.0000
Sc 0.3305 0.1695 0.5000
Sc 0.8305 0.3305 0.5000
Sc 0.1695 0.6695 0.5000
Sc 0.6695 0.8305 0.5000
Si 0.6344 0.1344 0.0000
Si 0.1344 0.3656 0.0000
Si 0.8656 0.6344 0.0000
Si 0.3656 0.8656 0.0000
CELL_PARAMETERS angstrom
6.3872 0.0000 0.0000
0.0000 6.3872 0.0000
0.0000 0.0000 4.1671
```

Results
SG: P4/mbm, No. 127
Total DFT energy (no corrections) in eV per cell: -66.65

17.
The following is a PBE-GGA calculation of Sc5Si6Pd4 after structural relaxation, from OQMD. Values from VASP.

```
&SYSTEM
  ibrav = 0, nat = 15, ntyp = 3
/
ATOMIC_SPECIES
Pd 106.42 Pd.upf
Sc 44.96 Sc.upf
Si 28.09 Si.upf
ATOMIC_POSITIONS crystal
Pd 0.4011 0.1684 0.2327
Pd 0.0643 0.8316 0.2327
Pd 0.9357 0.1684 0.7673
Pd 0.5989 0.8316 0.7673
Sc 0.8283 0.5000 0.3283
Sc 0.5000 0.0000 0.5000
Sc 0.7725 0.2725 0.5000
Sc 0.2275 0.7275 0.5000
Sc 0.1717 0.5000 0.6717
Si 0.0888 0.0888 0.0000
Si 0.9112 0.9112 0.0000
Si 0.4773 0.3537 0.1236
Si 0.7698 0.6463 0.1236
Si 0.2302 0.3537 0.8764
Si 0.5227 0.6463 0.8764
CELL_PARAMETERS angstrom
-1.9956 4.7519 6.5988
1.9956 -4.7519 6.5988
1.9956 4.7519 -6.5988
```

Results
SG: Immm, No. 71
Total DFT energy (no corrections) in eV per cell: -99.33

18.
The following is a PBE-GGA calculation of Sc6Si2Pd after structural relaxation, from OQMD. Values from VASP.

```
&SYSTEM
  ibrav = 0, nat = 9, ntyp = 3
/
ATOMIC_SPECIES
Pd 106.42 Pd.upf
Sc 44.96 Sc.upf
Si 28.09 Si.upf
ATOMIC_POSITIONS crystal
Pd 0.0000 0.0000 0.0000
Sc 0.5895 0.0000 0.0000
Sc 0.4105 0.4105 0.0000
Sc 0.0000 0.5895 0.0000
Sc 0.2605 0.0000 0.5000
Sc 0.0000 0.2605 0.5000
Sc 0.7395 0.7395 0.5000
Si 0.6667 0.3333 0.5000
Si 0.3333 0.6667 0.5000
CELL_PARAMETERS angstrom
7.3628 0.0000 0.0000
-3.6814 6.3764 0.0000
0.0000 0.0000 3.9160
```

Results
SG: P-62m, No. 189
Total DFT energy (no corrections) in eV per cell: -59.27

19.
The following is a PBE-GGA calculation of Sc6SiPd2 after structural relaxation, from OQMD. Values from VASP.

```
&SYSTEM
  ibrav = 0, nat = 9, ntyp = 3
/
ATOMIC_SPECIES
Pd 106.42 Pd.upf
Sc 44.96 Sc.upf
Si 28.09 Si.upf
ATOMIC_POSITIONS crystal
Pd 0.6667 0.3333 0.0000
Pd 0.3333 0.6667 0.0000
Sc 0.2598 0.0000 0.0000
Sc 0.0000 0.2598 0.0000
Sc 0.7402 0.7402 0.0000
Sc 0.6020 0.0000 0.5000
Sc 0.3980 0.3980 0.5000
Sc 0.0000 0.6020 0.5000
Si 0.0000 0.0000 0.5000
CELL_PARAMETERS angstrom
7.3275 0.0000 0.0000
-3.6638 6.3458 0.0000
0.0000 0.0000 3.9581
```

Results
SG: P-62m, No. 189
Total DFT energy (no corrections) in eV per cell: -58.97

20.
The following is a PBE-GGA calculation of ZrSc2Si4Pd4 after structural relaxation, from OQMD. Values from VASP.

```
&SYSTEM
  ibrav = 0, nat = 11, ntyp = 4
/
ATOMIC_SPECIES
Pd 106.42 Pd.upf
Sc 44.96 Sc.upf
Si 28.09 Si.upf
Zr 91.22 Zr.upf
ATOMIC_POSITIONS crystal
Pd 0.9708 0.6737 0.2971
Pd 0.6234 0.3263 0.2971
Pd 0.0292 0.3263 0.7029
Pd 0.3766 0.6737 0.7029
Sc 0.6209 0.1209 0.5000
Sc 0.3791 0.8791 0.5000
Si 0.2177 0.2177 0.0000
Si 0.7823 0.7823 0.0000
Si 0.6868 0.5000 0.1868
Si 0.3132 0.5000 0.8132
Zr 0.0000 0.0000 0.0000
CELL_PARAMETERS angstrom
6.5214 -0.2867 -4.0476
6.2495 -2.9362 3.3640
-7.1651 -0.8465 -2.6344
```

Results
SG: Immm, No. 71
Total DFT energy (no corrections) in eV per cell: -73.75